P | ## Ho3CrO6 (PBE+U)

Data for a relaxed structure of Ho3CrO6.

Summary:
crystal system: trigonal
space-group type: R-3

Lattice parameters (Å, degrees): 6.4904 6.4904 6.4904 92.48 92.48 92.48
Each line ends with the local moment (μB).
Element x y z (fractional)
Ho 0.4358 0.9279 0.7452  0.01
Ho 0.9279 0.7452 0.4358  0.01
Ho 0.2548 0.5642 0.0721  0.01
Ho 0.7452 0.4358 0.9279  0.01
Ho 0.0721 0.2548 0.5642  0.01
Ho 0.5642 0.0721 0.2548  0.01
Cr 0.0000 0.0000 0.0000  2.99
Cr 0.5000 0.5000 0.5000  2.94
O 0.3016 0.9198 0.0686  -0.01
O 0.0802 0.9314 0.6984  -0.01
O 0.5877 0.7999 0.4592  -0.01
O 0.9314 0.6984 0.0802  -0.01
O 0.4592 0.5877 0.7999  -0.01
O 0.2001 0.5408 0.4123  -0.01
O 0.7999 0.4592 0.5877  -0.01
O 0.5408 0.4123 0.2001  -0.01
O 0.0686 0.3016 0.9198  -0.01
O 0.4123 0.2001 0.5408  -0.01
O 0.9198 0.0686 0.3016  -0.01
O 0.6984 0.0802 0.9314  -0.01

Q | ## Ho3CrO6 (PBE+U)

Data for a relaxed structure of Ho3CrO6.

Summary:
crystal system: orthorhombic
space-group type: Cmc2_1

Lattice parameters (Å, degrees): 5.4631 7.0169 7.0169 101.33 90.00 90.00
Each line ends with the local moment (μB).
Element x y z (fractional)
Ho 0.4716 0.9127 0.6801  0.01
Ho 0.9716 0.6801 0.9127  0.01
Ho 0.4196 0.3967 0.6033  0.01
Ho 0.9196 0.6033 0.3967  0.01
Ho 0.9716 0.0873 0.3199  0.01
Ho 0.4716 0.3199 0.0873  0.01
Cr 0.9833 0.1472 0.8528  2.96
Cr 0.4833 0.8528 0.1472  2.96
O 0.1947 0.6730 0.6463  0.00
O 0.6947 0.6463 0.6730  0.00
O 0.1580 0.3952 0.9025  -0.02
O 0.6580 0.9025 0.3952  -0.02
O 0.2756 0.0139 0.9861  -0.03
O 0.6582 0.2227 0.7773  -0.02
O 0.1582 0.7773 0.2227  -0.02
O 0.7756 0.9861 0.0139  -0.03
O 0.1580 0.0975 0.6048  -0.02
O 0.6580 0.6048 0.0975  -0.02
O 0.1947 0.3537 0.3270  0.00
O 0.6947 0.3270 0.3537  0.00

Which of them is the least stable? Correct choice: Q.

P | ## HoCrO2 (PBE+U)

Data for a relaxed structure of HoCrO2.

Summary:
crystal system: tetragonal
space-group type: I4_1/amd

Lattice parameters (Å, degrees): 7.2653 7.2653 7.2653 130.35 130.35 72.85
Each line ends with the local moment (μB).
Element x y z (fractional)
Ho 0.8750 0.6250 0.2500  -0.13
Ho 0.3750 0.6250 0.7500  -0.13
Ho 0.3750 0.6250 0.2500  -0.13
Ho 0.3750 0.1250 0.7500  -0.13
Cr 0.3750 0.1250 0.2500  3.49
Cr 0.8750 0.1250 0.7500  3.49
Cr 0.8750 0.1250 0.2500  3.49
Cr 0.8750 0.6250 0.7500  3.49
O 0.1731 0.3977 0.2246  -0.03
O 0.1731 0.9485 0.7754  -0.03
O 0.1477 0.4231 0.7246  -0.03
O 0.5769 0.8523 0.2754  -0.03
O 0.6985 0.4231 0.2754  -0.03
O 0.5769 0.3015 0.7246  -0.03
O 0.6023 0.8269 0.7754  -0.03
O 0.0515 0.8269 0.2246  -0.03

Q | ## HoCrO2 (PBE+U)

Data for a relaxed structure of HoCrO2.

Summary:
crystal system: trigonal
space-group type: R-3m

Lattice parameters (Å, degrees): 3.4965 3.4965 6.4634 74.31 74.31 60.00
Each line ends with the local moment (μB).
Element x y z (fractional)
Cr 0.0000 0.0000 0.0000  3.91
Ho 0.5000 0.5000 0.5000  0.02
O 0.1087 0.1087 0.6740  0.01
O 0.8913 0.8913 0.3260  0.01

Which of them is the least stable? Correct choice: P.

P | ## HoCrTeO6 (PBE+U)

Data for a relaxed structure of HoCrTeO6.

Summary:
crystal system: trigonal
space-group type: P-31c

Lattice parameters (Å, degrees): 5.1837 5.1837 9.7460 90.00 90.00 120.00
Each line ends with the local moment (μB).
Element x y z (fractional)
Ho 0.0000 0.0000 0.0000  0.01
Ho 0.0000 0.0000 0.5000  0.01
Cr 0.3333 0.6667 0.2500  2.95
Cr 0.6667 0.3333 0.7500  2.95
Te 0.3333 0.6667 0.7500  0.02
Te 0.6667 0.3333 0.2500  0.02
O 0.3638 0.3540 0.1389  -0.01
O 0.6460 0.0098 0.1389  -0.01
O 0.9902 0.6362 0.1389  -0.01
O 0.6362 0.6460 0.8611  -0.01
O 0.3540 0.9902 0.8611  -0.01
O 0.0098 0.3638 0.8611  -0.01
O 0.6460 0.6362 0.3611  -0.01
O 0.3638 0.0098 0.3611  -0.01
O 0.9902 0.3540 0.3611  -0.01
O 0.3540 0.3638 0.6389  -0.01
O 0.6362 0.9902 0.6389  -0.01
O 0.0098 0.6460 0.6389  -0.01

Q | ## HoCrTeO6 (PBE+U)

Data for a relaxed structure of HoCrTeO6.

Summary:
crystal system: trigonal
space-group type: P-31c

Lattice parameters (Å, degrees): 5.3965 5.3965 8.6330 90.00 90.00 120.00
Each line ends with the local moment (μB).
Element x y z (fractional)
Ho 0.3333 0.6667 0.7500  0.01
Ho 0.6667 0.3333 0.2500  0.01
Cr 0.0000 0.0000 0.0000  2.98
Cr 0.0000 0.0000 0.5000  2.98
Te 0.6667 0.3333 0.7500  0.01
Te 0.3333 0.6667 0.2500  0.01
O 0.9591 0.3123 0.8760  -0.02
O 0.0409 0.6877 0.1240  -0.02
O 0.3532 0.0409 0.8760  -0.02
O 0.3532 0.3123 0.6240  -0.02
O 0.6468 0.9591 0.1240  -0.02
O 0.6468 0.6877 0.3760  -0.02
O 0.6877 0.6468 0.8760  -0.02
O 0.6877 0.0409 0.6240  -0.02
O 0.3123 0.3532 0.1240  -0.02
O 0.3123 0.9591 0.3760  -0.02
O 0.9591 0.6468 0.6240  -0.02
O 0.0409 0.3532 0.3760  -0.02

Which of them is the least stable? Correct choice: Q.